Compound: NaPmSm2
Source: the Alexandria database
Functional: GGA-PBE
Structure: optimized geometry

The structure belongs to space group P4/mmm (No. 123); the cell edges are 5.055, 5.055 and 5.266 Å and the angles 90.00°, 90.00° and 90.00°. The inequivalent atoms are Na at (0.000, 0.000, 0.000), Pm at (0.500, 0.500, 0.000) and Sm at (0.000, 0.500, 0.500).

As for the volume: 134.56 Å³ per cell. Its formation energy is 103.8 kJ/mol of formula units. For the relative energy among the computed polymorphs, the calculation gives 157.7 meV per atom. The crystal system is tetragonal.

=====

Compound: SrNd2Tl9
Source: the Alexandria database
Functional: GGA-PBE
Structure: optimized geometry

The structure belongs to space group P4/mmm (No. 123); the cell edges are 4.881, 4.881 and 14.686 Å and the angles 90.00°, 90.00° and 90.00°. The inequivalent atoms are Sr at (0.000, 0.000, 0.000), Nd at (0.000, 0.000, 0.340), Tl at (0.000, 0.500, 0.173), Tl at (0.000, 0.500, 0.500), Tl at (0.500, 0.500, 0.000) and Tl at (0.500, 0.500, 0.334).

As for the volume: 349.88 Å³ per cell. Its formation energy is -341.9 kJ/mol of formula units. The crystal system is tetragonal.